1.
{
  "formula": "KRbBa2Sb",
  "functional": "PBE",
  "state": "relaxed",
  "lattice_angstrom": [[-5.428, 1.205, -3.950], [3.156, -2.996, -5.251], [-2.858, -6.446, 1.961]],
  "species": ["Ba", "K", "Sb", "Ba", "Rb"],
  "fractional_positions": [[0.000, 0.500, 0.000], [0.500, 0.500, 0.500], [0.000, 0.000, 0.000], [0.500, 0.000, 0.000], [0.000, 0.000, 0.500]],
  "dos_ef_per_ev_atom": 0.7891,
  "raw_formation_energy_kj_per_mol_atoms": -32,
  "de_polymorph_ev_per_atom": 0.007,
  "crystal_system": "tetragonal"
}



2.
{
  "formula": "KBe2Zn",
  "functional": "PBE",
  "state": "relaxed",
  "lattice_angstrom": [[-0.876, 0.342, -3.942], [1.302, -2.177, -0.478], [-5.381, -4.538, 0.802]],
  "species": ["Zn", "Be", "Be", "K"],
  "fractional_positions": [[0.500, 0.750, 0.750], [0.000, 0.500, 0.616], [0.000, 0.000, 0.884], [0.500, 0.250, 0.250]],
  "dos_ef_per_ev_atom": 0.2930,
  "delta_e_f_mev_per_atom": 596,
  "crystal_system": "monoclinic"
}



3.
{
  "formula": "NpNbGa",
  "functional": "PBE",
  "state": "relaxed",
  "lattice_angstrom": [[3.559, 0.000, 0.000], [0.000, 3.559, 0.000], [-1.779, -1.779, 4.771]],
  "species": ["Nb", "Ga", "Np"],
  "fractional_positions": [[0.636, 0.636, 0.272], [0.023, 0.023, 0.047], [0.340, 0.340, 0.681]],
  "dos_ef_per_ev_atom": 2.5775,
  "delta_e_f_mev_per_atom": 188,
  "de_polymorph_ev_per_atom": 0.000,
  "crystal_system": "tetragonal"
}



4.
{
  "formula": "La2Pr5Sm4",
  "functional": "PBE",
  "state": "relaxed",
  "lattice_angstrom": [[3.588, 0.000, 0.000], [0.000, 9.435, 0.000], [-1.794, -4.718, 11.956]],
  "species": ["Pr", "La", "Sm", "Pr", "Pr", "Pr", "Pr", "Sm", "La", "Sm", "Sm"],
  "fractional_positions": [[0.143, 0.949, 0.287], [0.732, 0.732, 0.464], [0.403, 0.403, 0.806], [0.857, 0.662, 0.713], [0.500, 0.000, 0.000], [0.857, 0.051, 0.713], [0.143, 0.338, 0.287], [0.000, 0.692, 0.000], [0.268, 0.268, 0.536], [0.000, 0.308, 0.000], [0.597, 0.597, 0.194]],
  "dos_ef_per_ev_atom": 1.5342,
  "delta_e_f_mev_per_atom": 176,
  "de_polymorph_ev_per_atom": 0.051,
  "crystal_system": "orthorhombic"
}